Record 1
Entry from Alexandria via LeMat-Bulk: an optimized crystal structure of LiAc2ReO8 (PBE).

Cell lengths 4.591, 5.329, 7.287 Å; angles 87.77, 89.78, 87.77 degrees
Space group P-1 (No. 2)
Unique sites:
Li 0.000 0.000 0.000 (multiplicity 1)
Ac 0.304 0.497 0.721 (multiplicity 2)
Re 0.000 0.000 0.500 (multiplicity 1)
O 0.100 0.596 0.040 (multiplicity 2)
O 0.188 0.007 0.736 (multiplicity 2)
O 0.190 0.295 0.410 (multiplicity 2)
O 0.295 0.784 0.416 (multiplicity 2)


Record 2
Entry from Alexandria via LeMat-Bulk: an optimized crystal structure of Li2AcRh3O8 (PBE).

Cell lengths 10.804, 6.398, 6.267 Å; angles 90.00, 123.87, 90.00 degrees
Space group Cm (No. 8)
Unique sites:
Li 0.000 0.000 0.000 (multiplicity 2)
Li 0.118 0.500 0.380 (multiplicity 2)
Ac 0.387 0.000 0.612 (multiplicity 2)
Rh 0.000 0.000 0.494 (multiplicity 2)
Rh 0.252 0.253 0.998 (multiplicity 4)
O 0.028 0.205 0.766 (multiplicity 4)
O 0.230 0.000 0.767 (multiplicity 2)
O 0.233 0.000 0.176 (multiplicity 2)
O 0.243 0.500 0.791 (multiplicity 2)
O 0.265 0.500 0.233 (multiplicity 2)
O 0.475 0.268 0.254 (multiplicity 4)


Record 3
Entry from Alexandria via LeMat-Bulk: an optimized crystal structure of Li3Ac3RhO8 (PBE).

Cell lengths 7.2797, 7.2797, 14.6330 Å; angles 90.00, 90.00, 120.00 degrees
Space group R-3m (No. 166, hexagonal axes)
Unique sites:
Li 0.0000 0.5000 0.0000 (multiplicity 9)
Ac 0.0000 0.5000 0.5000 (multiplicity 9)
Rh 0.0000 0.0000 0.5000 (multiplicity 3)
O 0.0000 0.0000 0.2468 (multiplicity 6)
O 0.0527 0.5263 0.2456 (multiplicity 18)


Record 4
Entry from Alexandria via LeMat-Bulk: an optimized crystal structure of LiAc3Rh2O8 (PBE).

Cell lengths 5.4472, 5.4472, 7.8347 Å; angles 90.00, 90.00, 120.00 degrees
Space group P-3m1 (No. 164)
Unique sites:
Li 0.0000 0.0000 0.0000 (multiplicity 1)
Ac 0.0000 0.0000 0.5000 (multiplicity 1)
Ac 0.3333 0.6667 0.1222 (multiplicity 2)
Rh 0.3333 0.6667 0.6742 (multiplicity 2)
O 0.1701 0.3403 0.8356 (multiplicity 6)
O 0.3333 0.6667 0.4291 (multiplicity 2)


Record 5
Entry from Alexandria via LeMat-Bulk: an optimized crystal structure of Li2Ac3RhO6 (PBE).

Cell lengths 5.6997, 5.6997, 6.6754 Å; angles 90.00, 90.00, 120.00 degrees
Space group P-3m1 (No. 164)
Unique sites:
Li 0.3333 0.6667 0.1773 (multiplicity 2)
Ac 0.0000 0.0000 0.0000 (multiplicity 1)
Ac 0.3333 0.6667 0.6234 (multiplicity 2)
Rh 0.0000 0.0000 0.5000 (multiplicity 1)
O 0.1668 0.3335 0.3149 (multiplicity 6)


Record 6
Entry from Alexandria via LeMat-Bulk: an optimized crystal structure of LiAc2RhO5 (PBE).

Cell lengths 7.236, 7.236, 5.836 Å; angles 90.00, 90.00, 90.00 degrees
Space group P4/mbm (No. 127)
Unique sites:
Li 0.000 0.000 0.000 (multiplicity 2)
Ac 0.180 0.320 0.500 (multiplicity 4)
Rh 0.000 0.500 0.000 (multiplicity 2)
O 0.000 0.000 0.500 (multiplicity 2)
O 0.131 0.631 0.244 (multiplicity 8)


Record 7
Entry from Alexandria via LeMat-Bulk: an optimized crystal structure of LiAc4Rh3O12 (PBE).

Cell lengths 8.047, 8.047, 8.047 Å; angles 90.00, 90.00, 90.00 degrees
Space group Im-3m (No. 229)
Unique sites:
Li 0.000 0.000 0.000 (multiplicity 2)
Ac 0.250 0.250 0.250 (multiplicity 8)
Rh 0.000 0.000 0.500 (multiplicity 6)
O 0.000 0.000 0.254 (multiplicity 12)
O 0.000 0.250 0.500 (multiplicity 12)


Record 8
Entry from Alexandria via LeMat-Bulk: an optimized crystal structure of LiAcRh4O8 (PBE).

Cell lengths 6.2860, 6.2860, 16.5811 Å; angles 90.00, 90.00, 120.00 degrees
Space group R3m (No. 160, hexagonal axes)
Unique sites:
Li 0.0000 0.0000 0.0000 (multiplicity 3)
Ac 0.0000 0.0000 0.3575 (multiplicity 3)
Rh 0.0000 0.0000 0.5658 (multiplicity 3)
Rh 0.0025 0.5012 0.4842 (multiplicity 9)
O 0.0000 0.0000 0.2115 (multiplicity 3)
O 0.0000 0.0000 0.7582 (multiplicity 3)
O 0.0520 0.5260 0.7498 (multiplicity 9)
O 0.1794 0.3589 0.5571 (multiplicity 9)


Record 9
Entry from Alexandria via LeMat-Bulk: an optimized crystal structure of LiAc2RhO6 (PBE).

Cell lengths 5.705, 5.696, 9.849 Å; angles 90.00, 125.35, 90.00 degrees
Space group P2_1/c (No. 14)
Unique sites:
Li 0.000 0.000 0.000 (multiplicity 2)
Ac 0.254 0.033 0.749 (multiplicity 4)
Rh 0.500 0.000 0.500 (multiplicity 2)
O 0.194 0.008 0.257 (multiplicity 4)
O 0.259 0.711 0.033 (multiplicity 4)
O 0.324 0.224 0.033 (multiplicity 4)


Record 10
Entry from Alexandria via LeMat-Bulk: an optimized crystal structure of LiAcRuO4 (PBE).

Cell lengths 6.533, 8.238, 8.767 Å; angles 90.00, 90.00, 90.00 degrees
Space group Imma (No. 74)
Unique sites:
Li 0.000 0.250 0.011 (multiplicity 4)
Ac 0.000 0.000 0.500 (multiplicity 4)
Ru 0.250 0.250 0.250 (multiplicity 4)
O 0.000 0.095 0.228 (multiplicity 8)
O 0.218 0.250 0.479 (multiplicity 8)


Record 11
Entry from Alexandria via LeMat-Bulk: an optimized crystal structure of Li2AcRu2O7 (PBE).

Cell lengths 3.967, 3.967, 18.188 Å; angles 90.00, 90.00, 90.00 degrees
Space group I4/mmm (No. 139)
Unique sites:
Li 0.000 0.500 0.250 (multiplicity 4)
Ac 0.000 0.000 0.000 (multiplicity 2)
Ru 0.000 0.000 0.384 (multiplicity 4)
O 0.000 0.000 0.280 (multiplicity 4)
O 0.000 0.000 0.500 (multiplicity 2)
O 0.000 0.500 0.102 (multiplicity 8)


Record 12
Entry from Alexandria via LeMat-Bulk: an optimized crystal structure of LiAc3Ru2O9 (PBE).

Cell lengths 5.6642, 5.6642, 6.9656 Å; angles 90.00, 90.00, 120.00 degrees
Space group P-3m1 (No. 164)
Unique sites:
Li 0.0000 0.0000 0.0000 (multiplicity 1)
Ac 0.0000 0.0000 0.5000 (multiplicity 1)
Ac 0.3333 0.6667 0.1483 (multiplicity 2)
Ru 0.3333 0.6667 0.6675 (multiplicity 2)
O 0.0000 0.5000 0.5000 (multiplicity 3)
O 0.1701 0.3402 0.8312 (multiplicity 6)


Record 13
Entry from Alexandria via LeMat-Bulk: an optimized crystal structure of LiAc2RuO6 (PBE).

Cell lengths 9.859, 5.643, 5.762 Å; angles 90.00, 125.54, 90.00 degrees
Space group C2/m (No. 12)
Unique sites:
Li 0.000 0.000 0.000 (multiplicity 2)
Ac 0.249 0.500 0.254 (multiplicity 4)
Ru 0.000 0.500 0.500 (multiplicity 2)
O 0.038 0.256 0.298 (multiplicity 8)
O 0.241 0.500 0.811 (multiplicity 4)


Record 14
Entry from Alexandria via LeMat-Bulk: an optimized crystal structure of Li2Ac3RuO9 (PBE).

Cell lengths 5.5786, 5.5786, 6.9910 Å; angles 90.00, 90.00, 120.00 degrees
Space group P-3m1 (No. 164)
Unique sites:
Li 0.3333 0.6667 0.1758 (multiplicity 2)
Ac 0.0000 0.0000 0.0000 (multiplicity 1)
Ac 0.3333 0.6667 0.7069 (multiplicity 2)
Ru 0.0000 0.0000 0.5000 (multiplicity 1)
O 0.0000 0.5000 0.0000 (multiplicity 3)
O 0.1611 0.3222 0.3377 (multiplicity 6)


Record 15
Entry from Alexandria via LeMat-Bulk: an optimized crystal structure of LiAcRuO5 (PBE).

Cell lengths 9.027, 9.022, 8.684 Å; angles 90.00, 118.74, 90.00 degrees
Space group C2/c (No. 15)
Unique sites:
Li 0.000 0.193 0.250 (multiplicity 4)
Ac 0.000 0.500 0.000 (multiplicity 4)
Ru 0.000 0.115 0.750 (multiplicity 4)
O 0.000 0.399 0.250 (multiplicity 4)
O 0.011 0.225 0.926 (multiplicity 8)
O 0.171 0.019 0.329 (multiplicity 8)


Record 16
Entry from Alexandria via LeMat-Bulk: an optimized crystal structure of LiAc2RuO8 (PBE).

Cell lengths 4.492, 5.307, 7.364 Å; angles 94.82, 91.17, 96.34 degrees
Space group P-1 (No. 2)
Unique sites:
Li 0.000 0.000 0.000 (multiplicity 1)
Ac 0.277 0.504 0.225 (multiplicity 2)
Ru 0.000 0.000 0.500 (multiplicity 1)
O 0.101 0.023 0.252 (multiplicity 2)
O 0.162 0.340 0.557 (multiplicity 2)
O 0.255 0.638 0.924 (multiplicity 2)
O 0.404 0.907 0.540 (multiplicity 2)


Record 17
Entry from Alexandria via LeMat-Bulk: an optimized crystal structure of Li2Ac2RuO6 (PBE).

Cell lengths 6.116, 10.930, 5.145 Å; angles 90.00, 102.32, 90.00 degrees
Space group C2/m (No. 12)
Unique sites:
Li 0.000 0.104 0.000 (multiplicity 4)
Ac 0.000 0.339 0.500 (multiplicity 4)
Ru 0.000 0.000 0.500 (multiplicity 2)
O 0.168 0.145 0.717 (multiplicity 8)
O 0.230 0.000 0.262 (multiplicity 4)


Record 18
Entry from Alexandria via LeMat-Bulk: an optimized crystal structure of Li2AcRuO6 (PBE).

Cell lengths 5.433, 5.509, 9.589 Å; angles 90.00, 122.09, 90.00 degrees
Space group P2_1/c (No. 14)
Unique sites:
Li 0.190 0.020 0.235 (multiplicity 4)
Ac 0.000 0.000 0.500 (multiplicity 2)
Ru 0.500 0.000 0.000 (multiplicity 2)
O 0.166 0.127 0.789 (multiplicity 4)
O 0.244 0.607 0.564 (multiplicity 4)
O 0.482 0.695 0.905 (multiplicity 4)


Short version: formation energy without anion corrections = -26.6 -20.0 -32.2 -26.6 -26.2 -19.2 -41.9 -16.2 -22.9 -13.5 -20.6 -34.5 -24.2 -34.3 -14.1 -21.7 -23.7 -17.2 eV per formula unit, in the order given.